(1)
Here is a relaxed Tc4IrRh crystal from the Alexandria database. Energies are from PBE-GGA.

Lattice parameters (Å, degrees): 11.6844 7.5214 4.3281 90.00 111.71 90.00
Closest atoms and distances in Å follow each position.
Space group C2/c (No. 15)
Symmetry-distinct sites (fractional):
Tc1 0.1206 0.2426 0.3727 x8  8 Tc 2.62-2.91, 3 Ir 2.79-2.80, 3 Rh 2.84-2.88
Tc2 0.2481 0.4164 0.9980 x8  3 Tc 2.50, 1 Rh 2.69, 1 Ir 2.73
Ir1 0.0000 0.0843 0.7500 x4  1 Rh 2.50, 2 Ir 2.51, 6 Tc 2.73-2.79
Rh1 0.0000 0.4169 0.7500 x4  2 Rh 2.50, 1 Ir 2.50, 2 Tc 2.69

## Properties
N(E_F): 1.099 states/eV per atom
DFT formation energy: 0.064 eV per atom
crystal system: monoclinic
V: 353 Å³ per cell
ΔE to the lowest computed polymorph: 0.000 eV/atom

(2)
Here is a relaxed Cr5Os crystal from the Alexandria database. Energies are from PBE-GGA.

Lattice parameters (Å, degrees): 4.1394 12.3071 2.8969 90.00 90.00 90.00
Closest atoms and distances in Å follow each position.
Space group Cmmm (No. 65)
Symmetry-distinct sites (fractional):
Cr1 0.0000 0.0000 0.0000 x2  4 Cr 2.50, 4 Os 2.53
Cr2 0.0000 0.1654 0.5000 x4  8 Cr 2.46-2.53
Cr3 0.0000 0.3266 0.0000 x4  6 Cr 2.46-2.53, 2 Os 2.58
Os1 0.0000 0.5000 0.5000 x2  8 Cr 2.53-2.58

## Properties
N(E_F): 0.856 states/eV per atom
DFT formation energy: 0.041 eV per atom
crystal system: orthorhombic
V: 148 Å³ per cell
ΔE to the lowest computed polymorph: 0.019 eV/atom

(3)
Here is a relaxed In2PAu crystal from the Alexandria database. Energies are from PBE-GGA.

Lattice parameters (Å, degrees): 4.1754 4.2723 5.5786 102.66 96.66 101.34
Closest atoms and distances in Å follow each position.
Space group P1 (No. 1)
Symmetry-distinct sites (fractional):
In1 0.0000 0.0000 0.0000 x1  1 P 2.74, 3 Au 2.77-2.90
In2 0.3853 0.4031 0.5954 x1  3 P 2.63-2.86, 1 Au 2.84
P1 0.7747 0.9902 0.5158 x1  1 Au 2.49, 3 In 2.63-2.74
Au1 0.4523 0.6024 0.1221 x1  1 P 2.49, 1 In 2.77

## Properties
N(E_F): 0.424 states/eV per atom
DFT formation energy: -0.033 eV per atom
crystal system: triclinic
V: 94 Å³ per cell

(4)
Here is a relaxed CaTi2O4 crystal from the Alexandria database. Energies are from PBE-GGA.

Lattice parameters (Å, degrees): 3.0707 9.8259 10.1589 90.00 90.00 90.00
Closest atoms and distances in Å follow each position.
Space group Cmcm (No. 63)
Symmetry-distinct sites (fractional):
Ca1 0.0000 0.1201 0.2500 x4  6 O 2.35-2.39
Ti1 0.0000 0.3758 0.0650 x8  6 O 1.98-2.12
O1 0.0000 0.0000 0.0000 x4  4 Ti 2.07
O2 0.0000 0.2668 0.6067 x8  3 Ti 2.05-2.12
O3 0.0000 0.4384 0.2500 x4  2 Ti 1.98

## Properties
N(E_F): 0.414 states/eV per atom
crystal system: orthorhombic
V: 307 Å³ per cell
energy relative to the elements, uncorrected: -2.95 eV per atom
ΔE to the lowest computed polymorph: 0.000 eV/atom

The lowest N(E_F) belongs to which entry? CaTi2O4

The lowest N(E_F) belongs to which entry? CaTi2O4